[1]
# Ce4SnHg

Crystalline Ce4SnHg at its relaxed geometry (GGA-PBE, the Alexandria database).

Lattice parameters (Å, degrees): 5.1393 6.1919 9.3471 90.00 90.00 90.00
Closest atoms and distances in Å follow each position.
Space group Immm (No. 71)
One atom of each set of equivalent atoms:
Ce (0.0000, 0.2450, 0.1756)  4 Ce 2.92-3.16
Sn (0.0000, 0.0000, 0.5000)  2 Hg 3.10, 12 Ce 3.39-3.43
Hg (0.0000, 0.5000, 0.5000)  2 Sn 3.10, 12 Ce 3.41-3.42

## Properties
Magnetic moment   4.8 μB/cell
Formation energy   -144 kJ/mol of formula units
Distance to the lowest polymorph of the same formula   0.000 eV per atom
Calculated total energy   -4.92 eV per atom

[2]
# Ce3SnHg2

Crystalline Ce3SnHg2 at its relaxed geometry (GGA-PBE, the Alexandria database).

Lattice parameters (Å, degrees): 5.4316 5.4316 6.6543 90.00 90.00 120.00
Closest atoms and distances in Å follow each position.
Space group P-3m1 (No. 164)
One atom of each set of equivalent atoms:
Ce (0.0000, 0.0000, 0.0000)  6 Hg 3.27, 2 Sn 3.33
Ce (0.3333, 0.6667, 0.6495)  5 Hg 3.26-3.43, 3 Sn 3.29
Sn (0.0000, 0.0000, 0.5000)  8 Ce 3.29-3.33
Hg (0.3333, 0.6667, 0.1400)  8 Ce 3.26-3.43, 3 Hg 3.65

## Properties
Magnetic moment   3.8 μB/cell
Formation energy   -225 kJ/mol of formula units
Calculated total energy   -4.12 eV per atom

[3]
# Ce5Sn6Hg

Crystalline Ce5Sn6Hg at its relaxed geometry (GGA-PBE, the Alexandria database).

Lattice parameters (Å, degrees): 4.7948 9.2789 14.7152 90.00 90.00 90.00
Closest atoms and distances in Å follow each position.
Space group Immm (No. 71)
One atom of each set of equivalent atoms:
Ce (0.0000, 0.0000, 0.0000)  8 Sn 3.28-3.40, 4 Ce 3.43
Ce (0.0000, 0.0000, 0.3518)  8 Sn 3.24-3.52, 2 Hg 3.24
Ce (0.0000, 0.5000, 0.3334)  8 Sn 3.32-3.35, 4 Ce 3.43-3.63
Sn (0.0000, 0.2471, 0.1705)  7 Ce 3.32-3.52, 4 Sn 3.35-3.47, 1 Hg 3.44
Sn (0.0000, 0.2583, 0.5000)  6 Ce 3.24-3.32, 2 Hg 3.39, 4 Sn 3.47
Hg (0.0000, 0.5000, 0.0000)  4 Ce 3.24, 8 Sn 3.39-3.44

## Properties
Magnetic moment   8.4 μB/cell
Formation energy   -630 kJ/mol of formula units
Calculated total energy   -5.04 eV per atom

Question: Which of these has the highest magnetic moment?
Answer: Ce5Sn6Hg

Question: Number 2 is which compound?
Answer: Ce3SnHg2